# RbBrO2

A geometry-optimized RbBrO2 structure (GGA-PBE, Alexandria via LeMat-Bulk).

abc: 4.769 4.833 5.942
angles: 90.00 90.00 90.27
Site moments in Bohr magnetons follow the coordinates.
Element x y z (fractional)
Rb1 0.750 0.750 0.500  0.00
Br1 0.250 0.250 0.500  -0.02
O1 0.140 0.817 0.000  0.79
O2 0.360 0.683 0.000  0.79

Space group: No. 10
E above lowest polymorph: 0.000 eV per atom

# Rb2ReBrO

A geometry-optimized Rb2ReBrO structure (GGA-PBE, Alexandria via LeMat-Bulk).

abc: 6.358 3.818 6.358
angles: 90.00 90.00 90.00
Site moments in Bohr magnetons follow the coordinates.
Element x y z (fractional)
Rb1 0.000 0.000 0.500  0.00
Rb2 0.500 0.000 0.000  0.00
Re1 0.000 0.500 0.000  1.54
Br1 0.500 0.500 0.500  0.01
O1 0.000 0.000 0.000  -0.04

Space group: No. 123

Values for formation energy from raw total energies, eV/atom, ordered as above
-0.80, -0.56
Values for total magnetization, μB per formula unit, ordered as above
1.91, 1.85